# Ca4YAg

A relaxed Ca4YAg crystal (PBE, Alexandria via LeMat-Bulk).

## Properties
size of the total moment	0.69	μB/cell
Fermi-level density of states	1.204	states/eV per atom
E	-0.091	Ha/atom
E_form	0.41	eV per atom

Unit cell a=6.8127 b=6.8127 c=6.8127 alpha=60.00 beta=60.00 gamma=60.00
Last column: magnetic moment on the atom in μB.
Element x y z (fractional)
Ca  0.8739  0.3754  0.3754  0.03
Ca  0.3754  0.3754  0.8739  0.03
Ca  0.3754  0.8739  0.3754  0.03
Ca  0.3754  0.3754  0.3754  0.03
Y  0.7500  0.7500  0.7500  0.13
Ag  0.0000  0.0000  0.0000  0.00